RbSn2Br, relaxed, DFT PBE; formation energy (no corrections) = -0.447 eV/atom; total magnetization = 0.0 μB/cell; E_tot = -0.11424 Ha/atom
1.0
4.4525 0.0000 0.0000
0.0000 4.4525 0.0000
2.2262 2.2262 16.3297
Sn Br Rb
4 2 2
Direct
0.8750 0.8760 0.7500 Sn
0.1240 0.6250 0.2500 Sn
0.6260 0.1250 0.2500 Sn
0.3750 0.3740 0.7500 Sn
0.5000 0.5000 0.0000 Br
0.2500 0.7500 0.5000 Br
0.0000 0.0000 0.0000 Rb
0.7500 0.2500 0.5000 Rb

Rb2SnBr7, relaxed, DFT PBE; formation energy (no corrections) = -0.939 eV/atom; total magnetization = 2.0 μB/cell; E_tot = -0.09937 Ha/atom
1.0
7.0435 0.0000 3.4349
3.6264 11.7213 1.5029
-0.4558 -2.4187 9.8737
Br Rb Sn
14 4 2
Direct
0.1803 0.5220 0.1223 Br
0.8861 0.7795 0.0413 Br
0.1978 0.6699 0.5419 Br
0.6762 0.2500 0.7500 Br
0.8197 0.4780 0.8777 Br
0.8022 0.3301 0.4581 Br
0.2931 0.2795 0.5413 Br
0.8246 0.9780 0.3777 Br
0.7069 0.7205 0.4587 Br
0.5903 0.1699 0.0419 Br
0.3238 0.7500 0.2500 Br
0.1754 0.0220 0.6223 Br
0.4097 0.8301 0.9581 Br
0.1139 0.2205 0.9587 Br
0.7596 0.9282 0.7385 Rb
0.4262 0.5718 0.7615 Rb
0.5738 0.4282 0.2385 Rb
0.2404 0.0718 0.2615 Rb
0.0170 0.2500 0.7500 Sn
0.9830 0.7500 0.2500 Sn